The following is a PBE with a Hubbard U calculation of a relaxed CrGaNiO4 crystal, from Alexandria.

abc: 5.9275 5.9275 5.9275
angles: 120.69 119.45 89.88
Last column: nearest neighbours and their distance in Å.
Element x y z (fractional)
Cr (0.0000, 0.0000, 0.0000)  6 O 2.01-2.04
Cr (0.5000, 0.0000, 0.5000)  6 O 2.01-2.04
Ga (0.3828, 0.6328, 0.7500)  4 O 1.87-1.91
Ga (0.6172, 0.3672, 0.2500)  4 O 1.87-1.91
Ni (0.0000, 0.0000, 0.5000)  6 O 2.06-2.10
Ni (0.0000, 0.5000, 0.0000)  6 O 2.06-2.10
O (0.2324, 0.2400, 0.9923)  1 Ga 1.87, 1 Cr 2.01, 2 Ni 2.06
O (0.2496, 0.2354, 0.4858)  1 Ga 1.91, 2 Cr 2.04, 1 Ni 2.10
O (0.2496, 0.7638, 0.0142)  1 Ga 1.91, 2 Cr 2.04, 1 Ni 2.10
O (0.2523, 0.7600, 0.4923)  1 Ga 1.87, 1 Cr 2.01, 2 Ni 2.06
O (0.7477, 0.2400, 0.5077)  1 Ga 1.87, 1 Cr 2.01, 2 Ni 2.06
O (0.7504, 0.2362, 0.9858)  1 Ga 1.91, 2 Cr 2.04, 1 Ni 2.10
O (0.7504, 0.7646, 0.5142)  1 Ga 1.91, 2 Cr 2.04, 1 Ni 2.10
O (0.7676, 0.7600, 0.0077)  1 Ga 1.87, 1 Cr 2.01, 2 Ni 2.06

Results
VASP energy, eV/cell: -90.071
DOS at the Fermi energy, states/eV per atom: 0.000
Space group: Imma (74)